A relaxed structure of PuCo2GeO8. Source: Alexandria via LeMat-Bulk, functional PBE+U.

Lattice parameters (Å, degrees): 6.353 6.353 6.984 90.00 90.00 90.00
Space group I-4m2 (No. 119)
Symmetry-distinct sites (fractional):
Pu: 0.000 0.000 0.000
Co: 0.000 0.000 0.500
Co: 0.000 0.500 0.250
Ge: 0.000 0.500 0.750
O: 0.000 0.210 0.690
O: 0.000 0.302 0.044

Calculated values
For the total energy, the calculation gives -84.926 eV per formula unit. The magnetization is 12.0 μB per cell.